Entry 1:
Here is a relaxed CaFeTe2 crystal from the Alexandria database. Energies are from PBE.

Output
SG ... No. 12
Raw formation energy ... -300 meV per atom
Total DFT energy (no corrections) ... -4.49 eV per atom

Cell: 5.610 3.896 5.611 Å, 69.45 66.46 69.45°
Fractional positions:
1 Ca 0.250 0.250 0.250
2 Te 0.941 0.059 0.941
3 Te 0.559 0.441 0.559
4 Fe 0.750 0.750 0.750



Entry 2:
Here is a relaxed Ba5AcSb4 crystal from the Alexandria database. Energies are from PBE.

Output
SG ... No. 12
Raw formation energy ... -935 meV per atom
Total DFT energy (no corrections) ... -3.96 eV per atom

Cell: 5.141 9.341 11.391 Å, 114.14 103.04 90.00°
Last column: magnetic moment on the atom in μB.
Fractional positions:
1 Ba 0.833 0.589 0.666  0.03
2 Ba 0.833 0.076 0.665  0.03
3 Ba 0.167 0.924 0.335  0.03
4 Ba 0.500 0.500 0.000  0.06
5 Ba 0.167 0.411 0.334  0.03
6 Ac 0.500 0.000 0.000  0.02
7 Sb 0.311 0.811 0.622  0.00
8 Sb 0.000 0.756 0.000  0.00
9 Sb 0.689 0.189 0.378  0.00
10 Sb 0.000 0.244 0.000  0.00



Entry 3:
Here is a relaxed Pu2ReIr crystal from the Alexandria database. Energies are from PBE.

Output
SG ... No. 123
Total DFT energy (no corrections) ... -12.56 eV per atom

Cell: 3.481 3.481 6.481 Å, 90.00 90.00 90.00°
Last column: magnetic moment on the atom in μB.
Fractional positions:
1 Re 0.500 0.500 0.000  -0.76
2 Ir 0.500 0.500 0.500  -0.42
3 Pu 0.000 0.000 0.746  4.75
4 Pu 0.000 0.000 0.254  4.75



Entry 4:
Here is a relaxed Be4TlNi crystal from the Alexandria database. Energies are from PBE.

Output
SG ... No. 216
Total DFT energy (no corrections) ... -3.67 eV per atom

Cell: 4.505 4.505 4.505 Å, 60.00 60.00 60.00°
Fractional positions:
1 Be 0.867 0.378 0.378
2 Be 0.378 0.378 0.867
3 Be 0.378 0.867 0.378
4 Be 0.378 0.378 0.378
5 Tl 0.000 0.000 0.000
6 Ni 0.750 0.750 0.750



Entry 5:
Here is a relaxed BaBe3Bi crystal from the Alexandria database. Energies are from PBE.

Output
SG ... No. 221
Total DFT energy (no corrections) ... -1.46 eV per atom

Cell: 5.179 5.179 5.179 Å, 90.00 90.00 90.00°
Fractional positions:
1 Be 0.000 0.500 0.000
2 Be 0.000 0.000 0.500
3 Be 0.500 0.000 0.000
4 Bi 0.500 0.500 0.500
5 Ba 0.000 0.000 0.000



Entry 6:
Here is a relaxed Th2Ge4Ir3Au crystal from the Alexandria database. Energies are from PBE.

Output
SG ... No. 115
Total DFT energy (no corrections) ... -7.02 eV per atom

Cell: 4.351 4.351 10.144 Å, 90.00 90.00 90.00°
Fractional positions:
1 Th 0.500 0.000 0.244
2 Th 0.000 0.500 0.756
3 Ge 0.500 0.500 0.000
4 Ge 0.000 0.000 0.000
5 Ge 0.500 0.000 0.639
6 Ge 0.000 0.500 0.361
7 Ir 0.000 0.000 0.500
8 Ir 0.500 0.000 0.878
9 Ir 0.000 0.500 0.122
10 Au 0.500 0.500 0.500



Entry 7:
Here is a relaxed TbPmMg crystal from the Alexandria database. Energies are from PBE.

Output
SG ... No. 63
Total DFT energy (no corrections) ... -3.71 eV per atom

Cell: 5.219 5.213 7.115 Å, 111.50 90.00 90.00°
Fractional positions:
1 Tb 0.750 0.909 0.317
2 Tb 0.250 0.091 0.683
3 Pm 0.750 0.590 0.680
4 Pm 0.250 0.410 0.320
5 Mg 0.750 0.250 0.000
6 Mg 0.250 0.750 0.000



Entry 8:
Here is a relaxed BP2C3 crystal from the Alexandria database. Energies are from PBE.

Output
SG ... No. 6
Total DFT energy (no corrections) ... -6.96 eV per atom

Cell: 4.598 2.846 4.636 Å, 90.00 118.29 90.00°
Fractional positions:
1 P 0.172 0.500 0.528
2 P 0.698 0.500 0.079
3 C 0.111 0.000 0.796
4 C 0.416 0.000 0.443
5 C 0.425 0.000 0.127
6 B 0.763 0.000 0.777



Entry 9:
Here is a relaxed Zr3PdSe crystal from the Alexandria database. Energies are from PBE.

Output
SG ... No. 221
Raw formation energy ... 0 meV per atom
Total DFT energy (no corrections) ... -6.86 eV per atom

Cell: 4.933 4.933 4.933 Å, 90.00 90.00 90.00°
Fractional positions:
1 Se 0.000 0.000 0.000
2 Zr 0.000 0.500 0.000
3 Zr 0.000 0.000 0.500
4 Zr 0.500 0.000 0.000
5 Pd 0.500 0.500 0.500



Entry 10:
Here is a relaxed Tm2CoMo crystal from the Alexandria database. Energies are from PBE.

Output
SG ... No. 166
Total DFT energy (no corrections) ... -6.06 eV per atom

Cell: 3.135 3.135 9.732 Å, 80.73 80.73 60.00°
Fractional positions:
1 Mo 0.000 0.000 0.000
2 Tm 0.098 0.098 0.706
3 Tm 0.902 0.902 0.294
4 Co 0.500 0.500 0.500



Entry 11:
Here is a relaxed NdNiGe2Ir crystal from the Alexandria database. Energies are from PBE.

Output
SG ... No. 119
Total DFT energy (no corrections) ... -6.41 eV per atom

Cell: 4.152 4.152 5.976 Å, 110.33 110.33 90.00°
Last column: magnetic moment on the atom in μB.
Fractional positions:
1 Nd 0.000 0.000 0.000  0.03
2 Ni 0.250 0.750 0.500  0.28
3 Ge 0.625 0.625 0.250  0.01
4 Ge 0.375 0.375 0.750  0.01
5 Ir 0.750 0.250 0.500  0.17



Entry 12:
Here is a relaxed KAlFe crystal from the Alexandria database. Energies are from PBE.

Output
SG ... No. 156
Total DFT energy (no corrections) ... -3.73 eV per atom

Cell: 2.931 2.931 7.933 Å, 90.00 90.00 120.00°
Last column: magnetic moment on the atom in μB.
Fractional positions:
1 K 0.333 0.667 0.657  -0.05
2 Fe 0.667 0.333 0.294  2.44
3 Al 0.000 0.000 0.049  -0.04